The following is a DFT calculation (GGA-PBE) of a relaxed structure of CsAgSnTe3.

Values from the calculation:
The excess energy over the best structure of this formula in the dataset is 13 meV per atom.

abc: 17.0188 4.4797 11.7136
angles: 90.00 90.00 90.00
Last column: nearest neighbours and their distance in Å.
Space group Pnma (No. 62)
One atom of each set of equivalent atoms:
Cs 0.2250 0.2500 0.0236  7 Te 3.88-4.02, 3 Ag 4.22-4.28
Ag 0.0137 0.7500 0.0756  4 Te 2.84-2.88, 2 Ag 2.89
Sn 0.0228 0.2500 0.3491  6 Te 2.90-3.09
Te 0.0806 0.7500 0.8535  3 Ag 2.84-2.88, 1 Sn 2.95
Te 0.0911 0.2500 0.5758  3 Sn 2.90-3.09
Te 0.1244 0.7500 0.2597  1 Ag 2.86, 2 Sn 3.02

The following is a DFT calculation (GGA-PBE) of a relaxed structure of TmU.

Values from the calculation:
For the calculated formation energy, the calculation gives 0.414 eV/atom. The excess energy over the best structure of this formula in the dataset is 0 meV per atom.

abc: 3.1949 3.1949 5.6823
angles: 90.00 90.00 120.00
Last column: nearest neighbours and their distance in Å.
Space group P-6m2 (No. 187)
One atom of each set of equivalent atoms:
Tm 0.0000 0.0000 0.0000  6 Tm 3.19, 6 U 3.39
U 0.6667 0.3333 0.5000  6 U 3.19, 6 Tm 3.39

The following is a DFT calculation (GGA-PBE) of a relaxed structure of NdGdPb.

Values from the calculation:
The value obtained for the energy is -4.621 eV/atom.

abc: 7.4610 7.4610 7.4610
angles: 90.00 90.00 90.00
Last column: nearest neighbours and their distance in Å.
Space group F-43m (No. 216)
One atom of each set of equivalent atoms:
Nd 0.0000 0.0000 0.0000  4 Pb 3.23
Gd 0.0000 0.0000 0.5000  4 Pb 3.23
Pb 0.2500 0.2500 0.7500  4 Gd 3.23, 4 Nd 3.23

The following is a DFT calculation (GGA-PBE) of a relaxed structure of SrAlHgAu.

Values from the calculation:
The excess energy over the best structure of this formula in the dataset is 131 meV per atom.

abc: 7.1875 7.1875 7.1875
angles: 90.00 90.00 90.00
Last column: nearest neighbours and their distance in Å.
Space group F-43m (No. 216)
One atom of each set of equivalent atoms:
Sr 0.0000 0.0000 0.0000  4 Al 3.11, 4 Hg 3.11
Al 0.2500 0.2500 0.2500  4 Au 3.11, 4 Sr 3.11
Hg 0.2500 0.2500 0.7500  4 Sr 3.11, 4 Au 3.11
Au 0.0000 0.0000 0.5000  4 Hg 3.11, 4 Al 3.11

The following is a DFT calculation (GGA-PBE) of a relaxed structure of CsHfTe3Au.

Values from the calculation:
The value obtained for the energy is -4.682 eV/atom.

abc: 17.0154 4.2381 11.2473
angles: 90.00 90.00 90.00
Last column: nearest neighbours and their distance in Å.
Space group Pnma (No. 62)
One atom of each set of equivalent atoms:
Cs 0.2379 0.2500 0.0497  7 Te 3.76-3.89
Hf 0.0135 0.2500 0.3191  6 Te 2.82-3.00
Te 0.0800 0.2500 0.5662  3 Hf 2.95-3.00
Te 0.0965 0.7500 0.8680  1 Hf 2.82, 3 Au 2.83-2.98
Te 0.1281 0.7500 0.2701  1 Au 2.75, 2 Hf 2.93
Au 0.0121 0.7500 0.1002  4 Te 2.75-2.98

The following is a DFT calculation (GGA-PBE) of a relaxed structure of PmPAuO.

Values from the calculation:
The excess energy over the best structure of this formula in the dataset is 346 meV per atom.

abc: 3.8704 7.5053 6.0575
angles: 90.00 90.00 90.00
Last column: nearest neighbours and their distance in Å.
Space group Pmc2_1 (No. 26)
One atom of each set of equivalent atoms:
Pm 0.0000 0.2268 0.0000  2 O 2.18
P 0.0000 0.1577 0.5009  2 Au 2.35
Au 0.5000 0.3355 0.5066  1 O 2.28, 2 P 2.35
O 0.5000 0.3608 0.0074  2 Pm 2.18, 1 Au 2.28